1.
PBE AcDyThTl, relaxed; ρ = 10.73 g cm⁻³; formation energy = 10.7 kJ/mol of atoms
1.0
5.653 0.000 0.000
2.827 4.896 0.000
2.827 1.632 4.616
Ac Tl Th Dy
1 1 1 1
direct
0.000 0.000 0.000
0.500 0.500 0.500
0.250 0.250 0.250
0.750 0.750 0.750

2.
PBE Ti2CoB2, relaxed; ρ = 5.63 g cm⁻³; formation energy = -68.0 kJ/mol of atoms; energy relative to the lowest polymorph listed for this composition = 60 meV/atom
1.0
3.195 0.000 0.000
1.597 4.214 0.325
1.597 1.441 3.974
Ti Co B
2 1 2
direct
0.213 0.287 0.287
0.787 0.713 0.713
0.000 0.000 0.000
0.500 0.307 0.693
0.500 0.693 0.307

3.
PBE DyTm2Se2, relaxed; ρ = 8.49 g cm⁻³; uncorrected formation energy = -1.3565 eV/atom
1.0
3.812 0.000 0.705
1.841 3.338 0.705
0.097 0.057 10.137
Dy Tm Se
1 2 2
direct
0.000 0.000 0.000
0.212 0.212 0.364
0.788 0.788 0.636
0.607 0.607 0.180
0.393 0.393 0.820

4.
PBE SrCaIn2I6, relaxed; ρ = 4.00 g cm⁻³; uncorrected formation energy = -1.1560 eV/atom
1.0
-2.604 -8.082 0.837
0.099 -5.236 -6.736
6.047 -6.485 -0.277
Sr Ca In I
1 1 2 6
direct
0.821 0.821 0.536
0.322 0.322 0.033
0.521 0.521 0.437
0.020 0.020 0.941
0.585 0.192 0.257
0.192 0.965 0.257
0.965 0.585 0.257
0.450 0.683 0.765
0.684 0.101 0.765
0.101 0.450 0.765

5.
PBE Li12Tl5Ge2, relaxed; ρ = 5.61 g cm⁻³; formation energy = -17.2 kJ/mol of atoms
1.0
-5.524 -0.021 4.929
4.775 -6.900 -0.239
4.805 0.038 5.385
Li Tl Ge
12 5 2
direct
0.943 0.887 0.173
0.061 0.725 0.890
0.664 0.725 0.890
0.126 0.732 0.429
0.606 0.732 0.429
0.466 0.932 0.708
0.534 0.068 0.292
0.874 0.268 0.571
0.394 0.268 0.571
0.939 0.275 0.110
0.336 0.275 0.110
0.057 0.113 0.827
0.257 0.515 0.745
0.279 0.558 0.222
0.000 0.000 0.500
0.721 0.442 0.778
0.743 0.485 0.255
0.671 0.000 0.000
0.329 0.000 0.000

6.
PBE Pr3Tm4Th2, relaxed; ρ = 8.80 g cm⁻³; formation energy = 12.1 kJ/mol of atoms
1.0
-3.072 0.824 -1.391
1.887 -5.095 -2.854
-6.478 -10.541 8.065
Pr Tm Th
3 4 2
direct
0.358 0.717 0.659
0.000 0.000 0.000
0.642 0.283 0.341
0.704 0.408 0.105
0.124 0.247 0.558
0.876 0.753 0.442
0.296 0.592 0.895
0.406 0.812 0.223
0.594 0.188 0.777